Tb2Be3GaCu12 | Alexandria via LeMat-Bulk | PBE-GGA | relaxed; ΔH_f (0 K) = 28 kJ/mol of atoms
1.0
3.754 2.167 5.840
-3.754 2.167 5.840
0.000 -4.335 5.840
Tb Be Ga Cu
2 3 1 12
Direct
0.102 0.102 0.102
0.898 0.898 0.898
0.000 0.500 0.500
0.500 0.000 0.500
0.500 0.500 0.000
0.500 0.500 0.500
0.106 0.629 0.629
0.163 0.163 0.602
0.163 0.602 0.163
0.371 0.371 0.894
0.371 0.894 0.371
0.398 0.837 0.837
0.602 0.163 0.163
0.629 0.106 0.629
0.629 0.629 0.106
0.837 0.398 0.837
0.837 0.837 0.398
0.894 0.371 0.371



BeGaCu2Te4 | Alexandria via LeMat-Bulk | PBE-GGA | relaxed; uncorrected formation energy = -180 kJ/mol of formula units
1.0
5.851 0.000 0.000
0.000 5.851 0.000
0.000 0.000 12.164
Be Ga Cu Te
2 2 4 8
Direct
0.000 0.000 0.000
0.500 0.500 0.500
0.000 0.000 0.500
0.500 0.500 0.000
0.000 0.500 0.250
0.000 0.500 0.750
0.500 0.000 0.250
0.500 0.000 0.750
0.235 0.235 0.125
0.235 0.765 0.875
0.265 0.265 0.625
0.265 0.735 0.375
0.735 0.265 0.375
0.735 0.735 0.625
0.765 0.235 0.875
0.765 0.765 0.125



TiBeGa2Cu | Alexandria via LeMat-Bulk | PBE-GGA | relaxed; ΔH_f (0 K) = 114 kJ/mol of atoms
1.0
4.942 0.000 0.000
0.000 4.942 0.000
0.000 0.000 4.600
Ti Be Ga Cu
1 1 2 1
Direct
0.000 0.000 0.000
0.500 0.500 0.500
0.000 0.500 0.000
0.500 0.000 0.000
0.000 0.000 0.500



TiBeGaCu | Alexandria via LeMat-Bulk | PBE-GGA | relaxed; ΔH_f (0 K) = -7 kJ/mol of atoms
1.0
5.953 0.000 0.000
0.000 5.953 0.000
0.000 0.000 5.953
Ti Be Ga Cu
4 4 4 4
Direct
0.000 0.000 0.000
0.000 0.500 0.500
0.500 0.000 0.500
0.500 0.500 0.000
0.000 0.000 0.500
0.000 0.500 0.000
0.500 0.000 0.000
0.500 0.500 0.500
0.250 0.250 0.250
0.250 0.750 0.750
0.750 0.250 0.750
0.750 0.750 0.250
0.250 0.250 0.750
0.250 0.750 0.250
0.750 0.250 0.250
0.750 0.750 0.750



Tm2Be3GaCu12 | Alexandria via LeMat-Bulk | PBE-GGA | relaxed; ΔH_f (0 K) = 28 kJ/mol of atoms
1.0
3.750 2.165 5.764
-3.750 2.165 5.764
0.000 -4.330 5.764
Tm Be Ga Cu
2 3 1 12
Direct
0.099 0.099 0.099
0.901 0.901 0.901
0.000 0.500 0.500
0.500 0.000 0.500
0.500 0.500 0.000
0.500 0.500 0.500
0.103 0.634 0.634
0.161 0.161 0.603
0.161 0.603 0.161
0.366 0.366 0.897
0.366 0.897 0.366
0.397 0.839 0.839
0.603 0.161 0.161
0.634 0.103 0.634
0.634 0.634 0.103
0.839 0.397 0.839
0.839 0.839 0.397
0.897 0.366 0.366



Tm2BeGaCu6 | Alexandria via LeMat-Bulk | PBE-GGA | relaxed; ΔH_f (0 K) = -12 kJ/mol of atoms
1.0
5.754 0.000 0.000
-2.865 5.007 0.000
-2.846 -1.641 5.580
Tm Be Ga Cu
2 1 1 6
Direct
0.055 0.278 0.335
0.945 0.722 0.665
0.500 0.500 0.000
0.500 0.000 0.500
0.020 0.258 0.838
0.412 0.737 0.156
0.414 0.175 0.156
0.586 0.825 0.844
0.588 0.263 0.844
0.980 0.742 0.162



TmBeGa3Cu | Alexandria via LeMat-Bulk | PBE-GGA | relaxed; ΔH_f (0 K) = 0 kJ/mol of atoms
1.0
3.290 -5.865 0.000
3.290 5.865 0.000
0.000 0.000 5.440
Tm Be Ga Cu
2 2 6 2
Direct
0.217 0.783 0.750
0.783 0.217 0.250
0.137 0.863 0.250
0.863 0.137 0.750
0.196 0.196 0.000
0.196 0.196 0.500
0.334 0.666 0.250
0.666 0.334 0.750
0.804 0.804 0.000
0.804 0.804 0.500
0.452 0.548 0.750
0.548 0.452 0.250



Tm2BeGa4Cu3 | Alexandria via LeMat-Bulk | PBE-GGA | relaxed; ΔH_f (0 K) = -37 kJ/mol of atoms
1.0
4.051 0.000 0.000
0.000 4.051 0.000
0.000 0.000 10.075
Tm Be Ga Cu
2 1 4 3
Direct
0.000 0.500 0.241
0.500 0.000 0.759
0.500 0.500 0.000
0.000 0.000 0.500
0.000 0.500 0.873
0.500 0.000 0.127
0.500 0.500 0.500
0.000 0.000 0.000
0.000 0.500 0.639
0.500 0.000 0.361



Y2Be3GaCu12 | Alexandria via LeMat-Bulk | PBE-GGA | relaxed; ΔH_f (0 K) = 28 kJ/mol of atoms
1.0
3.756 2.169 5.843
-3.756 2.169 5.843
0.000 -4.338 5.843
Y Be Ga Cu
2 3 1 12
Direct
0.102 0.102 0.102
0.898 0.898 0.898
0.000 0.500 0.500
0.500 0.000 0.500
0.500 0.500 0.000
0.500 0.500 0.500
0.106 0.629 0.629
0.163 0.163 0.601
0.163 0.601 0.163
0.371 0.371 0.894
0.371 0.894 0.371
0.399 0.837 0.837
0.601 0.163 0.163
0.629 0.106 0.629
0.629 0.629 0.106
0.837 0.399 0.837
0.837 0.837 0.399
0.894 0.371 0.371



YBeGa2Cu4 | Alexandria via LeMat-Bulk | PBE-GGA | relaxed; ΔH_f (0 K) = -20 kJ/mol of atoms
1.0
2.048 1.183 8.171
-2.048 1.183 8.171
0.000 -2.365 8.171
Y Be Ga Cu
1 1 2 4
Direct
0.000 0.000 0.000
0.500 0.500 0.500
0.245 0.245 0.245
0.755 0.755 0.755
0.139 0.139 0.139
0.409 0.409 0.409
0.591 0.591 0.591
0.861 0.861 0.861



Y2BeGa3Cu12 | Alexandria via LeMat-Bulk | PBE-GGA | relaxed; ΔH_f (0 K) = 5 kJ/mol of atoms
1.0
2.712 1.566 10.970
-2.712 1.566 10.970
0.000 -3.132 10.970
Y Be Ga Cu
2 1 3 12
Direct
0.144 0.144 0.144
0.856 0.856 0.856
0.500 0.500 0.500
0.000 0.500 0.500
0.500 0.000 0.500
0.500 0.500 0.000
0.096 0.096 0.634
0.096 0.634 0.096
0.125 0.607 0.607
0.366 0.904 0.904
0.393 0.393 0.875
0.393 0.875 0.393
0.607 0.125 0.607
0.607 0.607 0.125
0.634 0.096 0.096
0.875 0.393 0.393
0.904 0.366 0.904
0.904 0.904 0.366



YBeGaCu6 | Alexandria via LeMat-Bulk | PBE-GGA | relaxed; ΔH_f (0 K) = -6 kJ/mol of atoms
1.0
-2.543 3.866 6.737
2.543 -3.866 6.737
2.543 3.866 -6.737
Y Be Ga Cu
2 2 2 12
Direct
0.251 0.001 0.250
0.749 0.999 0.750
0.500 0.000 0.000
0.500 0.500 0.500
0.000 0.500 0.500
0.500 0.500 0.000
0.003 0.753 0.250
0.148 0.401 0.232
0.148 0.916 0.747
0.331 0.084 0.732
0.331 0.599 0.247
0.363 0.613 0.750
0.637 0.387 0.250
0.669 0.401 0.753
0.669 0.916 0.268
0.852 0.084 0.253
0.852 0.599 0.768
0.997 0.247 0.750



Be2Zn2GaCu5 | Alexandria via LeMat-Bulk | PBE-GGA | relaxed; ΔH_f (0 K) = -1 kJ/mol of atoms
1.0
8.214 0.000 0.000
0.000 8.214 0.000
0.000 0.000 3.625
Be Zn Ga Cu
4 4 2 10
Direct
0.115 0.385 0.000
0.385 0.885 0.000
0.615 0.115 0.000
0.885 0.615 0.000
0.176 0.676 0.000
0.324 0.176 0.000
0.676 0.824 0.000
0.824 0.324 0.000
0.000 0.000 0.000
0.500 0.500 0.000
0.000 0.500 0.500
0.079 0.206 0.500
0.206 0.921 0.500
0.294 0.421 0.500
0.421 0.706 0.500
0.500 0.000 0.500
0.579 0.294 0.500
0.706 0.579 0.500
0.794 0.079 0.500
0.921 0.794 0.500



Be2ZnGa2Cu5 | Alexandria via LeMat-Bulk | PBE-GGA | relaxed; ΔH_f (0 K) = -2 kJ/mol of atoms
1.0
8.231 0.000 0.000
0.000 8.231 0.000
0.000 0.000 3.639
Be Zn Ga Cu
4 2 4 10
Direct
0.117 0.383 0.000
0.383 0.883 0.000
0.617 0.117 0.000
0.883 0.617 0.000
0.000 0.000 0.000
0.500 0.500 0.000
0.176 0.676 0.000
0.324 0.176 0.000
0.676 0.824 0.000
0.824 0.324 0.000
0.000 0.500 0.500
0.079 0.205 0.500
0.205 0.921 0.500
0.295 0.421 0.500
0.421 0.705 0.500
0.500 0.000 0.500
0.579 0.295 0.500
0.705 0.579 0.500
0.795 0.079 0.500
0.921 0.795 0.500



GdBeCu2 | Alexandria via LeMat-Bulk | PBE-GGA | relaxed; ΔH_f (0 K) = -13 kJ/mol of atoms
1.0
4.009 0.000 0.000
-2.005 3.472 0.000
0.000 0.000 14.340
Gd Be Cu
3 3 6
Direct
0.000 0.000 0.000
0.333 0.667 0.667
0.667 0.333 0.333
0.000 0.000 0.500
0.333 0.667 0.167
0.667 0.333 0.833
0.000 0.000 0.199
0.000 0.000 0.801
0.333 0.667 0.468
0.333 0.667 0.866
0.667 0.333 0.134
0.667 0.333 0.532



GdBeCu | Alexandria via LeMat-Bulk | PBE-GGA | relaxed; ΔH_f (0 K) = -8 kJ/mol of atoms
1.0
4.076 0.000 0.000
-2.038 3.530 0.000
0.000 0.000 3.752
Gd Be Cu
1 1 1
Direct
0.000 0.000 0.000
0.667 0.333 0.500
0.333 0.667 0.500



LaGdBeCu | Alexandria via LeMat-Bulk | PBE-GGA | relaxed; ΔH_f (0 K) = 2 kJ/mol of atoms
1.0
7.128 0.000 0.000
0.000 7.128 0.000
0.000 0.000 7.128
La Gd Be Cu
4 4 4 4
Direct
0.000 0.000 0.000
0.000 0.500 0.500
0.500 0.000 0.500
0.500 0.500 0.000
0.000 0.000 0.500
0.000 0.500 0.000
0.500 0.000 0.000
0.500 0.500 0.500
0.250 0.250 0.750
0.250 0.750 0.250
0.750 0.250 0.250
0.750 0.750 0.750
0.250 0.250 0.250
0.250 0.750 0.750
0.750 0.250 0.750
0.750 0.750 0.250



GdLuBeCu | Alexandria via LeMat-Bulk | PBE-GGA | relaxed; ΔH_f (0 K) = -7 kJ/mol of atoms
1.0
6.846 0.000 0.000
0.000 6.846 0.000
0.000 0.000 6.846
Gd Lu Be Cu
4 4 4 4
Direct
0.000 0.000 0.000
0.000 0.500 0.500
0.500 0.000 0.500
0.500 0.500 0.000
0.000 0.000 0.500
0.000 0.500 0.000
0.500 0.000 0.000
0.500 0.500 0.500
0.250 0.250 0.750
0.250 0.750 0.250
0.750 0.250 0.250
0.750 0.750 0.750
0.250 0.250 0.250
0.250 0.750 0.750
0.750 0.250 0.750
0.750 0.750 0.250



NdGdBeCu | Alexandria via LeMat-Bulk | PBE-GGA | relaxed; ΔH_f (0 K) = 1 kJ/mol of atoms
1.0
7.051 0.000 0.000
0.000 7.051 0.000
0.000 0.000 7.051
Nd Gd Be Cu
4 4 4 4
Direct
0.000 0.000 0.000
0.000 0.500 0.500
0.500 0.000 0.500
0.500 0.500 0.000
0.000 0.000 0.500
0.000 0.500 0.000
0.500 0.000 0.000
0.500 0.500 0.500
0.250 0.250 0.250
0.250 0.750 0.750
0.750 0.250 0.750
0.750 0.750 0.250
0.250 0.250 0.750
0.250 0.750 0.250
0.750 0.250 0.250
0.750 0.750 0.750



GdScBeCu | Alexandria via LeMat-Bulk | PBE-GGA | relaxed; ΔH_f (0 K) = -5 kJ/mol of atoms
1.0
6.716 0.000 0.000
0.000 6.716 0.000
0.000 0.000 6.716
Gd Sc Be Cu
4 4 4 4
Direct
0.000 0.000 0.000
0.000 0.500 0.500
0.500 0.000 0.500
0.500 0.500 0.000
0.000 0.000 0.500
0.000 0.500 0.000
0.500 0.000 0.000
0.500 0.500 0.500
0.250 0.250 0.250
0.250 0.750 0.750
0.750 0.250 0.750
0.750 0.750 0.250
0.250 0.250 0.750
0.250 0.750 0.250
0.750 0.250 0.250
0.750 0.750 0.750



SmGdBeCu | Alexandria via LeMat-Bulk | PBE-GGA | relaxed; ΔH_f (0 K) = -1 kJ/mol of atoms
1.0
7.002 0.000 0.000
0.000 7.002 0.000
0.000 0.000 7.002
Sm Gd Be Cu
4 4 4 4
Direct
0.000 0.000 0.000
0.000 0.500 0.500
0.500 0.000 0.500
0.500 0.500 0.000
0.000 0.000 0.500
0.000 0.500 0.000
0.500 0.000 0.000
0.500 0.500 0.500
0.250 0.250 0.750
0.250 0.750 0.250
0.750 0.250 0.250
0.750 0.750 0.750
0.250 0.250 0.250
0.250 0.750 0.750
0.750 0.250 0.750
0.750 0.750 0.250



GdThBeCu | Alexandria via LeMat-Bulk | PBE-GGA | relaxed; ΔH_f (0 K) = 4 kJ/mol of atoms
1.0
7.036 0.000 0.000
0.000 7.036 0.000
0.000 0.000 7.036
Gd Th Be Cu
4 4 4 4
Direct
0.000 0.000 0.000
0.000 0.500 0.500
0.500 0.000 0.500
0.500 0.500 0.000
0.000 0.000 0.500
0.000 0.500 0.000
0.500 0.000 0.000
0.500 0.500 0.500
0.250 0.250 0.250
0.250 0.750 0.750
0.750 0.250 0.750
0.750 0.750 0.250
0.250 0.250 0.750
0.250 0.750 0.250
0.750 0.250 0.250
0.750 0.750 0.750



BeCuGe3 | Alexandria via LeMat-Bulk | PBE-GGA | relaxed; offset from the most stable computed form = 0.000 eV/atom; ΔH_f (0 K) = 58 kJ/mol of atoms
1.0
4.467 0.000 0.000
0.000 4.467 0.000
0.000 0.000 4.467
Be Cu Ge
1 1 3
Direct
0.000 0.000 0.000
0.500 0.500 0.500
0.000 0.000 0.500
0.000 0.500 0.000
0.500 0.000 0.000



no.,total moment (μB per formula unit),total energy (eV/atom)
1,0.0,-3.75
2,0.0,-3.67
3,0.1,-3.18
4,0.0,-4.76
5,0.0,-3.72
6,0.0,-4.15
7,0.0,-3.57
8,0.0,-4.09
9,0.0,-3.95
10,0.0,-4.29
11,0.0,-4.11
12,0.0,-4.27
13,0.0,-3.36
14,0.0,-3.55
15,7.2,-6.64
16,7.4,-7.38
17,7.3,-6.68
18,7.1,-6.67
19,7.3,-6.66
20,7.1,-7.11
21,7.2,-6.67
22,7.8,-7.29
23,0.0,-3.73